A plane-wave DFT calculation with PBE+U was carried out for crystalline VGaO4 at its relaxed geometry.

## Properties
The value obtained for the total energy is -41.4 eV/cell. The magnetic moment comes out at 0.00 Bohr magnetons per cell. The space group is I-4 (82). The value obtained for the volume is 20.560 Å³ per atom. Its crystal system is tetragonal.

Cell: 5.490 5.490 5.641 Å, 119.12 119.12 90.00°
Element x y z (fractional)
O (0.714, 0.379, 0.242)
O (0.137, 0.286, 0.758)
O (0.528, 0.863, 0.242)
O (0.621, 0.472, 0.758)
Ga (0.750, 0.250, 0.500)
V (0.500, 0.500, 0.000)